# PmNd4Dy6 (PBE, optimized geometry)
data_PmNd4Dy6
_chemical_formula_sum 'Pm2 Nd8 Dy12'
_space_group_name_H-M_alt 'I -4 2 m'
_space_group_IT_number 121
_space_group_name_Hall 'I -4 2'
_cell_length_a 7.760
_cell_length_b 7.760
_cell_length_c 13.081
_cell_angle_alpha 90.00
_cell_angle_beta 90.00
_cell_angle_gamma 90.00
loop_
_atom_site_label
_atom_site_fract_x
_atom_site_fract_y
_atom_site_fract_z
Pm1 0.000 0.000 0.000
Nd1 0.174 0.174 0.424
Dy1 0.000 0.500 0.000
Dy2 0.247 0.247 0.185
# M_tot = 0.0000 μB per atom
# raw total energy = -4.237 eV per atom
# D(E_F) = 30.63 states/eV/cell
# ΔE to the lowest computed polymorph = 1.50 eV/f.u.
# ΔH_f (0 K) = 4.83 eV/f.u.